The following is a DFT calculation (PBE-GGA) of an optimized crystal structure of Mg5Ga2Pd4.

Calculated values
Space-group type: C2/m, No. 12
Calculated formation energy, eV/atom: -0.433
Theoretical density, Mg/m³: 5.72

a = 3.015 Å, b = 3.047 Å, c = 21.825 Å
α = 85.97°, β = 93.96°, γ = 90.00°
Fractional positions:
Ga1 0.556 0.445 0.111
Ga2 0.444 0.555 0.889
Pd1 0.682 0.818 0.364
Pd2 0.398 0.100 0.795
Pd3 0.602 0.900 0.205
Pd4 0.318 0.182 0.636
Mg1 0.500 0.000 0.000
Mg2 0.221 0.277 0.443
Mg3 0.779 0.723 0.557
Mg4 0.142 0.360 0.284
Mg5 0.858 0.640 0.716